[1]
Compound: CaAs2Os
Source: Alexandria via LeMat-Bulk
Functional: PBE
Structure: relaxed

Cell: 5.3978 5.3978 5.3978 Å, 136.73 136.73 62.86°
Closest atoms and distances in Å follow each position.
Atoms (fractional coordinates):
Ca (0.0000, 0.0000, 0.0000)  8 As 2.81-3.04, 4 Os 3.04
As (0.5000, 0.5000, 0.0000)  4 Ca 2.81, 4 As 3.04, 4 Os 3.04
As (0.7500, 0.2500, 0.5000)  4 Os 2.81, 4 As 3.04, 4 Ca 3.04
Os (0.2500, 0.7500, 0.5000)  8 As 2.81-3.04, 4 Ca 3.04

Summary:
ρ   8.65 g cm⁻³
ΔE to the lowest computed polymorph   0.618 eV/atom
ΔE_f   0.218 eV per atom


[2]
Compound: CaAsOs2
Source: Alexandria via LeMat-Bulk
Functional: PBE
Structure: relaxed

Cell: 2.8881 4.6728 5.1134 Å, 90.00 90.00 90.00°
Closest atoms and distances in Å follow each position.
Atoms (fractional coordinates):
Ca (0.0000, 0.0000, 0.0000)  4 As 2.75, 2 Ca 2.89, 4 Os 2.94
As (0.5000, 0.5000, 0.0000)  4 Ca 2.75, 2 As 2.89, 4 Os 2.94
Os (0.0000, 0.5000, 0.5000)  6 Os 2.75-2.89, 4 As 2.94
Os (0.5000, 0.0000, 0.5000)  6 Os 2.75-2.89, 4 Ca 2.94

Summary:
ρ   11.92 g cm⁻³
ΔE_f   0.541 eV per atom


[3]
Compound: CaAs2Os
Source: Alexandria via LeMat-Bulk
Functional: PBE
Structure: relaxed

Cell: 7.2724 7.2724 7.2724 Å, 155.13 150.50 38.96°
Closest atoms and distances in Å follow each position.
Atoms (fractional coordinates):
Ca (0.0000, 0.0000, 0.0000)  6 As 2.92-2.95, 2 Ca 3.13
As (0.3779, 0.3779, 0.0000)  2 Os 2.49
As (0.6649, 0.1649, 0.5000)  4 Os 2.62, 2 Ca 2.92
Os (0.2371, 0.7371, 0.5000)  6 As 2.49-2.62

Summary:
ρ   7.94 g cm⁻³
ΔE to the lowest computed polymorph   0.208 eV/atom
ΔE_f   -0.193 eV per atom